# Tb2DyScSb4 | Alexandria via LeMat-Bulk | PBE-GGA | optimized geometry
data_Tb2DyScSb4
_chemical_formula_sum 'Tb2 Dy1 Sc1 Sb4'
_cell_length_a 7.519
_cell_length_b 4.346
_cell_length_c 7.521
_cell_angle_alpha 90.00
_cell_angle_beta 109.49
_cell_angle_gamma 90.00
_symmetry_space_group_name_H-M 'P 1 2/m 1'
_symmetry_Int_Tables_number 10
loop_
_symmetry_equiv_pos_as_xyz
'x,y,z'
'-x,-y,-z'
'-x,y,-z'
'x,-y,z'
loop_
_atom_site_label
_atom_site_fract_x
_atom_site_fract_y
_atom_site_fract_z
_atom_site_occupancy
Tb1 0.000 0.000 0.000 1
Tb2 0.000 0.500 0.500 1
Dy1 0.500 0.000 0.500 1
Sc1 0.500 0.500 0.000 1
Sb1 0.256 0.500 0.246 1
Sb2 0.261 0.000 0.760 1
# crystal system: monoclinic
# spin magnetization: 0.0 μB/f.u.
# uncorrected formation energy: -1.080 eV/atom

=====

# TbDy2Sc3Sb6 | Alexandria via LeMat-Bulk | PBE-GGA | optimized geometry
data_TbDy2Sc3Sb6
_chemical_formula_sum 'Tb2 Dy4 Sc6 Sb12'
_cell_length_a 7.417
_cell_length_b 12.853
_cell_length_c 7.397
_cell_angle_alpha 90.00
_cell_angle_beta 109.52
_cell_angle_gamma 90.00
_symmetry_space_group_name_H-M 'C 1 2/m 1'
_symmetry_Int_Tables_number 12
loop_
_symmetry_equiv_pos_as_xyz
'x,y,z'
'-x,-y,-z'
'-x,y,-z'
'x,-y,z'
'x+1/2,y+1/2,z'
'-x+1/2,-y+1/2,-z'
'-x+1/2,y+1/2,-z'
'x+1/2,-y+1/2,z'
loop_
_atom_site_label
_atom_site_fract_x
_atom_site_fract_y
_atom_site_fract_z
_atom_site_occupancy
Tb1 0.000 0.000 0.000 1
Dy1 0.000 0.333 0.000 1
Sc1 0.000 0.166 0.500 1
Sc2 0.000 0.500 0.500 1
Sb1 0.245 0.333 0.735 1
Sb2 0.246 0.000 0.735 1
# crystal system: monoclinic
# spin magnetization: 0.0 μB/f.u.
# uncorrected formation energy: -1.031 eV/atom